Compound: TeMo
Source: Alexandria via LeMat-Bulk
Functional: PBEsol
Structure: relaxed

Structure (POSCAR):
```
TeMo
1.0
3.2715 0.0000 0.0000
-1.6357 2.8332 0.0000
0.0000 0.0000 8.1030
Te Mo
2 2
direct
0.0000 0.0000 0.0000
0.0000 0.0000 0.5000
0.3333 0.6667 0.2500
0.6667 0.3333 0.7500
```

## Properties
As for the crystal system: hexagonal. The calculation puts the uncorrected formation energy at 0.806 eV/f.u. The space-group type is P6_3/mmc. The total magnetization comes out at 0.00 μB per cell.

=====

Compound: TeMo
Source: Alexandria via LeMat-Bulk
Functional: PBEsol
Structure: relaxed

Structure (POSCAR):
```
TeMo
1.0
3.3008 0.0000 0.0000
0.0000 4.8101 0.0000
0.0000 0.0000 4.7591
Te Mo
2 2
direct
0.2500 0.2500 0.1420
0.7500 0.7500 0.8580
0.2500 0.7500 0.4028
0.7500 0.2500 0.5972
```

## Properties
As for the crystal system: orthorhombic. The calculation puts the uncorrected formation energy at 0.313 eV/f.u. The space-group type is Pmmn. The total magnetization comes out at 0.00 μB per cell.

=====

Compound: TeMo5
Source: Alexandria via LeMat-Bulk
Functional: PBEsol
Structure: relaxed

Structure (POSCAR):
```
TeMo5
1.0
0.0000 3.6767 3.6767
3.6767 0.0000 3.6767
3.6767 3.6767 0.0000
Te Mo
1 5
direct
0.0000 0.0000 0.0000
0.1227 0.6258 0.6258
0.2500 0.2500 0.2500
0.6258 0.1227 0.6258
0.6258 0.6258 0.1227
0.6258 0.6258 0.6258
```

## Properties
As for the crystal system: cubic. The calculation puts the uncorrected formation energy at 3.125 eV/f.u. The space-group type is F-43m. The total magnetization comes out at 0.00 μB per cell.